Entry 1:
Material: Ac2Ga7Hg
Method: DFT, PBE
State: relaxed

Properties
E_tot (eV/f.u.): -34.3

Cell: 4.6212 4.6212 10.5901 Å, 90.00 90.00 90.00°
Fractional coordinates of all 10 atoms:
1 Ac 0.0000 0.5000 0.2464
2 Ac 0.5000 0.0000 0.7536
3 Ga 0.0000 0.0000 0.0000
4 Ga 0.0000 0.5000 0.6363
5 Ga 0.0000 0.5000 0.8760
6 Ga 0.5000 0.0000 0.1240
7 Ga 0.5000 0.0000 0.3637
8 Ga 0.5000 0.5000 0.0000
9 Ga 0.5000 0.5000 0.5000
10 Hg 0.0000 0.0000 0.5000

---

Entry 2:
Material: Ba2RuCl
Method: DFT, PBE
State: relaxed

Properties
E_tot (eV/f.u.): -16.8
Energy above the lowest structure with this stoichiometry (meV per atom): 81.2
E_form (uncorrected) (eV/atom): -0.446

Cell: 5.7064 5.7064 3.6458 Å, 97.65 97.65 89.42°
Fractional coordinates of all 4 atoms:
1 Ba 0.0000 0.5000 0.0000
2 Ba 0.5000 0.0000 0.0000
3 Ru 0.0000 0.0000 0.5000
4 Cl 0.5000 0.5000 0.5000

---

Entry 3:
Material: ZnCSeN2
Method: DFT, PBE
State: relaxed

Properties
E_tot (eV/f.u.): -21.2
Energy above the lowest structure with this stoichiometry (meV per atom): 0.0
E_form (uncorrected) (eV/atom): 1.895

Cell: 3.2625 3.2625 7.7430 Å, 90.00 90.00 90.00°
Fractional coordinates of all 5 atoms:
1 Zn 0.0000 0.0000 0.0000
2 C 0.5000 0.5000 0.5000
3 Se 0.5000 0.5000 0.0000
4 N 0.0000 0.5000 0.5000
5 N 0.5000 0.0000 0.5000